VASP calculation (GGA-PBE) on crystalline Sr2La at its relaxed geometry.

The structure in POSCAR format:
```
Sr2La
1.0
7.037 -0.003 0.002
3.452 6.133 -0.002
-4.549 -4.254 3.275
La Sr
1 2
Cartesian
0.000 0.000 0.000
3.539 2.068 0.000
6.950 4.062 0.000
```

## Properties
Its total energy is -0.0953 hartree per atom. The value obtained for the density of states at the Fermi level is 1.748 states/eV/atom. For the energy of formation, the calculation gives 170 meV per atom. For the energy above the most stable polymorph in this dataset, the calculation gives 0.070 eV/atom. The space group is Immm (71).



VASP calculation (GGA-PBE) on crystalline SrLa5 at its relaxed geometry.

The structure in POSCAR format:
```
SrLa5
1.0
-3.013 3.246 5.419
-6.795 -1.007 1.345
-1.946 -3.668 5.635
Sr La
1 5
Cartesian
0.000 0.000 0.000
-5.842 -2.433 5.093
-6.351 0.865 4.990
-2.939 -0.357 3.100
-4.038 -0.404 7.037
-7.279 -0.885 7.678
```

## Properties
Its total energy is -0.1543 hartree per atom. The value obtained for the density of states at the Fermi level is 1.480 states/eV/atom. For the energy of formation, the calculation gives 188 meV per atom. For the energy above the most stable polymorph in this dataset, the calculation gives 0.143 eV/atom. The space group is F-43m (216).



VASP calculation (GGA-PBE) on crystalline SrLa5 at its relaxed geometry.

The structure in POSCAR format:
```
SrLa5
1.0
1.428 5.350 4.205
-2.050 1.170 -6.540
-5.666 0.102 1.794
Sr La
1 5
Cartesian
0.000 0.000 0.000
-0.891 2.563 -2.958
-3.858 0.636 -2.373
0.269 3.957 0.623
-3.144 3.311 -0.270
-2.119 2.726 3.000
```

## Properties
Its total energy is -0.1525 hartree per atom. The value obtained for the density of states at the Fermi level is 1.742 states/eV/atom. For the energy of formation, the calculation gives 236 meV per atom. For the energy above the most stable polymorph in this dataset, the calculation gives 0.191 eV/atom. The space group is P6/mmm (191).



VASP calculation (GGA-PBE) on crystalline SrLa5 at its relaxed geometry.

The structure in POSCAR format:
```
SrLa5
1.0
7.366 0.013 -0.005
6.392 3.660 -0.005
2.234 0.596 8.778
La Sr
5 1
Cartesian
7.099 1.895 6.256
13.632 3.640 0.003
5.444 1.454 3.013
1.555 0.415 3.498
10.652 2.844 5.756
10.026 2.677 0.461
```

## Properties
Its total energy is -0.1583 hartree per atom. The value obtained for the density of states at the Fermi level is 1.779 states/eV/atom. For the energy of formation, the calculation gives 79 meV per atom. For the energy above the most stable polymorph in this dataset, the calculation gives 0.033 eV/atom. The space group is Cm (8).



So what do the calculations give for theoretical density? Going down the list: 3.69; 5.36; 5.22; 5.50 g cm⁻³.